# 1
Material: TbDy6Y2Tm
Method: DFT, PBE-GGA
State: optimized geometry

ΔE_f: 1.2 eV/f.u.

a b c (Å): 8.765 8.765 9.484
angles (deg): 93.58 93.58 117.69
Fractional positions:
1 Tb 0.025 0.975 0.750
2 Tb 0.975 0.025 0.250
3 Dy 0.016 0.568 0.686
4 Dy 0.124 0.753 0.057
5 Dy 0.247 0.876 0.443
6 Dy 0.291 0.509 0.881
7 Dy 0.432 0.984 0.814
8 Dy 0.491 0.709 0.619
9 Dy 0.509 0.291 0.381
10 Dy 0.568 0.016 0.186
11 Dy 0.709 0.491 0.119
12 Dy 0.753 0.124 0.557
13 Dy 0.876 0.247 0.943
14 Dy 0.984 0.432 0.314
15 Y 0.200 0.303 0.545
16 Y 0.303 0.200 0.045
17 Y 0.697 0.800 0.955
18 Y 0.800 0.697 0.455
19 Tm 0.410 0.590 0.250
20 Tm 0.590 0.410 0.750


# 2
Material: LaYbPd2
Method: DFT, PBE-GGA
State: optimized geometry

ΔE_f: -3.3 eV/f.u.

a b c (Å): 5.066 5.066 5.066
angles (deg): 60.00 60.00 60.00
Fractional positions:
1 La 0.000 0.000 0.000
2 Yb 0.500 0.500 0.500
3 Pd 0.250 0.250 0.250
4 Pd 0.750 0.750 0.750


# 3
Material: La6In3Ag
Method: DFT, PBE-GGA
State: optimized geometry

Energy relative to the lowest polymorph listed for this composition: 0.00 eV/f.u.
ΔE_f: -3.5 eV/f.u.

a b c (Å): 9.771 5.493 12.141
angles (deg): 90.00 107.31 90.00
Fractional positions:
1 La 0.041 0.250 0.416
2 La 0.164 0.750 0.175
3 La 0.254 0.250 0.004
4 La 0.346 0.750 0.809
5 La 0.372 0.250 0.356
6 La 0.416 0.250 0.625
7 La 0.584 0.750 0.375
8 La 0.628 0.750 0.644
9 La 0.654 0.250 0.191
10 La 0.746 0.750 0.996
11 La 0.836 0.250 0.825
12 La 0.959 0.750 0.584
13 In 0.036 0.750 0.879
14 In 0.124 0.250 0.720
15 In 0.269 0.750 0.477
16 In 0.731 0.250 0.523
17 In 0.876 0.750 0.280
18 In 0.964 0.250 0.121
19 Ag 0.461 0.750 0.094
20 Ag 0.539 0.250 0.906


# 4
Material: Tl2Co
Method: DFT, PBE-GGA
State: optimized geometry

ΔE_f: 1.2 eV/f.u.

a b c (Å): 11.297 11.297 3.978
angles (deg): 90.00 90.00 163.43
Fractional positions:
1 Tl 0.080 0.920 0.750
2 Tl 0.194 0.806 0.250
3 Tl 0.806 0.194 0.750
4 Tl 0.920 0.080 0.250
5 Co 0.474 0.526 0.750
6 Co 0.526 0.474 0.250


# 5
Material: KRb
Method: DFT, PBE-GGA
State: optimized geometry

Energy relative to the lowest polymorph listed for this composition: 0.01 eV/f.u.
ΔE_f: 0.0 eV/f.u.

a b c (Å): 9.471 9.471 9.471
angles (deg): 113.00 113.00 102.62
Fractional positions:
1 K 0.000 0.000 0.000
2 K 0.000 0.000 0.500
3 K 0.000 0.500 0.000
4 K 0.500 0.000 0.500
5 Rb 0.000 0.500 0.500
6 Rb 0.500 0.000 0.000
7 Rb 0.500 0.500 0.000
8 Rb 0.500 0.500 0.500


# 6
Material: Ca2CuNCl
Method: DFT, PBE-GGA
State: optimized geometry

E_form (uncorrected): 0.36 eV per atom

a b c (Å): 5.167 5.167 4.252
angles (deg): 90.00 90.00 90.00
Fractional positions:
1 Ca 0.000 0.500 0.000
2 Ca 0.500 0.000 0.000
3 Cu 0.000 0.000 0.500
4 N 0.500 0.500 0.500
5 Cl 0.000 0.000 0.000


# 7
Material: Ca3As4Pd4
Method: DFT, PBE-GGA
State: optimized geometry

ΔE_f: -9.5 eV/f.u.

a b c (Å): 4.157 4.325 12.944
angles (deg): 99.53 99.22 90.04
Fractional positions:
1 Ca 0.000 0.000 0.000
2 Ca 0.148 0.648 0.295
3 Ca 0.852 0.352 0.705
4 As 0.308 0.808 0.615
5 As 0.447 0.450 0.899
6 As 0.553 0.550 0.101
7 As 0.692 0.192 0.385
8 Pd 0.250 0.251 0.501
9 Pd 0.404 0.906 0.810
10 Pd 0.596 0.094 0.190
11 Pd 0.750 0.749 0.499


# 8
Material: MgNbCu
Method: DFT, PBE-GGA
State: optimized geometry

Energy relative to the lowest polymorph listed for this composition: 0.16 eV/f.u.
ΔE_f: 0.3 eV/f.u.

a b c (Å): 2.935 5.164 7.285
angles (deg): 106.38 91.79 106.16
Fractional positions:
1 Mg 0.179 0.325 0.116
2 Mg 0.821 0.675 0.884
3 Nb 0.084 0.277 0.533
4 Nb 0.916 0.723 0.467
5 Cu 0.466 0.924 0.212
6 Cu 0.534 0.076 0.788


# 9
Material: Li3Tl5I12
Method: DFT, PBE-GGA
State: optimized geometry

E_form (uncorrected): -0.49 eV per atom

a b c (Å): 16.929 16.929 16.929
angles (deg): 109.47 109.47 109.47
Fractional positions:
1 Li 0.125 0.250 0.375
2 Li 0.125 0.375 0.750
3 Li 0.250 0.375 0.125
4 Li 0.250 0.875 0.625
5 Li 0.375 0.125 0.250
6 Li 0.375 0.750 0.125
7 Li 0.625 0.250 0.875
8 Li 0.625 0.875 0.750
9 Li 0.750 0.125 0.375
10 Li 0.750 0.625 0.875
11 Li 0.875 0.625 0.250
12 Li 0.875 0.750 0.625
13 Tl 0.000 0.000 0.000
14 Tl 0.000 0.000 0.500
15 Tl 0.000 0.500 0.000
16 Tl 0.000 0.500 0.500
17 Tl 0.125 0.750 0.875
18 Tl 0.125 0.875 0.250
19 Tl 0.250 0.125 0.875
20 Tl 0.250 0.625 0.375
21 Tl 0.375 0.250 0.625
22 Tl 0.375 0.625 0.750
23 Tl 0.500 0.000 0.000
24 Tl 0.500 0.000 0.500
25 Tl 0.500 0.500 0.000
26 Tl 0.500 0.500 0.500
27 Tl 0.625 0.375 0.250
28 Tl 0.625 0.750 0.375
29 Tl 0.750 0.375 0.625
30 Tl 0.750 0.875 0.125
31 Tl 0.875 0.125 0.750
32 Tl 0.875 0.250 0.125
33 I 0.045 0.224 0.138
34 I 0.045 0.321 0.907
35 I 0.086 0.724 0.679
36 I 0.086 0.862 0.407
37 I 0.093 0.638 0.414
38 I 0.093 0.955 0.679
39 I 0.138 0.045 0.224
40 I 0.138 0.593 0.914
41 I 0.179 0.224 0.586
42 I 0.179 0.455 0.593
43 I 0.224 0.138 0.045
44 I 0.224 0.586 0.179
45 I 0.276 0.321 0.914
46 I 0.276 0.455 0.362
47 I 0.321 0.907 0.045
48 I 0.321 0.914 0.276
49 I 0.362 0.276 0.455
50 I 0.362 0.586 0.907
51 I 0.407 0.086 0.862
52 I 0.407 0.821 0.545
53 I 0.414 0.093 0.638
54 I 0.414 0.821 0.776
55 I 0.455 0.362 0.276
56 I 0.455 0.593 0.179
57 I 0.545 0.407 0.821
58 I 0.545 0.638 0.724
59 I 0.586 0.179 0.224
60 I 0.586 0.907 0.362
61 I 0.593 0.179 0.455
62 I 0.593 0.914 0.138
63 I 0.638 0.414 0.093
64 I 0.638 0.724 0.545
65 I 0.679 0.086 0.724
66 I 0.679 0.093 0.955
67 I 0.724 0.545 0.638
68 I 0.724 0.679 0.086
69 I 0.776 0.414 0.821
70 I 0.776 0.862 0.955
71 I 0.821 0.545 0.407
72 I 0.821 0.776 0.414
73 I 0.862 0.407 0.086
74 I 0.862 0.955 0.776
75 I 0.907 0.045 0.321
76 I 0.907 0.362 0.586
77 I 0.914 0.138 0.593
78 I 0.914 0.276 0.321
79 I 0.955 0.679 0.093
80 I 0.955 0.776 0.862


# 10
Material: PbC
Method: DFT, PBE-GGA
State: optimized geometry

Energy relative to the lowest polymorph listed for this composition: 3.82 eV/f.u.
ΔE_f: 5.5 eV/f.u.

a b c (Å): 4.779 4.779 4.779
angles (deg): 60.00 60.00 60.00
Fractional positions:
1 Pb 0.125 0.125 0.125
2 Pb 0.875 0.875 0.875
3 C 0.375 0.375 0.375
4 C 0.625 0.625 0.625


# 11
Material: SrLa2Nd
Method: DFT, PBE-GGA
State: optimized geometry

Energy relative to the lowest polymorph listed for this composition: 0.01 eV/f.u.
ΔE_f: 0.3 eV/f.u.

a b c (Å): 12.892 12.892 12.892
angles (deg): 16.99 16.99 16.99
Fractional positions:
1 Sr 0.000 0.000 0.000
2 La 0.244 0.244 0.244
3 La 0.756 0.756 0.756
4 Nd 0.500 0.500 0.500


# 12
Material: Ba2LiBi2
Method: DFT, PBE-GGA
State: optimized geometry

Energy relative to the lowest polymorph listed for this composition: 0.00 eV/f.u.
ΔE_f: -3.9 eV/f.u.

a b c (Å): 8.956 8.956 8.956
angles (deg): 130.96 70.33 132.92
Fractional positions:
1 Ba 0.138 0.206 0.344
2 Ba 0.362 0.706 0.068
3 Ba 0.638 0.294 0.932
4 Ba 0.862 0.794 0.656
5 Li 0.250 0.750 0.500
6 Li 0.750 0.250 0.500
7 Bi 0.112 0.715 0.827
8 Bi 0.388 0.215 0.603
9 Bi 0.612 0.785 0.397
10 Bi 0.888 0.285 0.173


What are the volume values for these records? In order: 640 92 622 145 647 114 226 101 3735 77 160 389 Å³/cell.